1.
Material: Zn2OsI
Method: DFT, GGA-PBE
State: relaxed

Calculated values
The value obtained for the electronic total energy is -2.76 eV per atom. The calculation puts the density of states at the Fermi level at 2.53 states/eV/f.u. For the formation energy without anion corrections, the calculation gives 414.4 kJ/mol of formula units. As for the energy relative to the lowest polymorph listed for this composition: 0.0723 eV/atom.

a b c (Å): 6.5900 6.5900 6.5900
angles (deg): 90.00 90.00 90.00
Space group Fm-3m (No. 225)
Unique sites:
Zn 0.2500 0.2500 0.2500 x8
Os 0.0000 0.0000 0.0000 x4
I 0.0000 0.0000 0.5000 x4



2.
Material: Tl2Ag2Au
Method: DFT, GGA-PBE
State: relaxed

Calculated values
The value obtained for the electronic total energy is -2.63 eV per atom. The calculation puts the density of states at the Fermi level at 1.41 states/eV/f.u. For the formation energy, the calculation gives 0.11 eV/atom. As for the energy relative to the lowest polymorph listed for this composition: 0.0000 eV/atom.

a b c (Å): 7.3208 7.3208 4.3955
angles (deg): 90.00 90.00 90.00
Space group P4/mbm (No. 127)
Unique sites:
Tl 0.1709 0.3291 0.0000 x4
Ag 0.1364 0.6364 0.5000 x4
Au 0.0000 0.0000 0.5000 x2



3.
Material: SbMo
Method: DFT, GGA-PBE
State: relaxed

Calculated values
The value obtained for the electronic total energy is -7.25 eV per atom. The calculation puts the density of states at the Fermi level at 0.62 states/eV/f.u. For the formation energy without anion corrections, the calculation gives 43.4 kJ/mol of formula units.

a b c (Å): 3.5699 3.5699 3.6131
angles (deg): 90.00 90.00 120.00
Space group P-6m2 (No. 187)
Unique sites:
Sb 0.0000 0.0000 0.0000 x1
Mo 0.3333 0.6667 0.5000 x1